i | Entry from the Alexandria database: crystalline RuPbCl at its relaxed geometry (GGA-PBEsol).

POSCAR file:
```
RuPbCl
1.0
-2.9746 0.3774 -0.5873
-1.7545 -2.5383 -0.6931
-3.0018 -0.7025 6.8041
Cl Pb Ru
1 1 1
Direct
0.9671 0.0000 0.0657
0.6838 0.0000 0.6323
0.3490 0.0000 0.3019
```

Output
- Calculated volume: 61.9 Å³/cell
- Calculated density: 9.2 g cm⁻³
- DOS at the Fermi energy: 1.09 states/eV/atom

ii | Entry from the Alexandria database: crystalline RuPbCl at its relaxed geometry (GGA-PBEsol).

POSCAR file:
```
RuPbCl
1.0
-3.3423 -3.2640 -0.3765
-0.7749 -2.9791 3.5343
-3.9186 0.3539 2.5467
Ru Pb Cl
1 1 1
Direct
0.0000 0.0000 0.0000
0.2500 0.2500 0.2500
0.5000 0.5000 0.5000
```

Output
- Calculated volume: 72.8 Å³/cell
- Calculated density: 7.8 g cm⁻³
- DOS at the Fermi energy: 1.23 states/eV/atom

Energy ordering: i at the bottom, the next structure 0.682 eV/atom above.

i | Entry from the Alexandria database: crystalline TePbSCl2 at its relaxed geometry (GGA-PBEsol).

POSCAR file:
```
TePbSCl2
1.0
5.2973 0.0000 0.0000
0.0000 5.2973 0.0000
0.0000 0.0000 5.3021
Pb S Te Cl
1 1 1 2
Direct
0.0000 0.0000 0.0000
0.0000 0.0000 0.5000
0.5000 0.5000 0.5000
0.0000 0.5000 0.0000
0.5000 0.0000 0.0000
```

Output
- Calculated volume: 148.8 Å³/cell
- Calculated density: 4.9 g cm⁻³
- DOS at the Fermi energy: 0.85 states/eV/atom

ii | Entry from the Alexandria database: crystalline TePbSCl2 at its relaxed geometry (GGA-PBEsol).

POSCAR file:
```
TePbSCl2
1.0
5.2595 0.0000 0.0000
0.0000 5.2084 0.0000
0.0000 0.0000 5.2084
Cl Pb Te S
2 1 1 1
Direct
0.0000 0.0000 0.5000
0.0000 0.5000 0.0000
0.5000 0.5000 0.5000
0.0000 0.0000 0.0000
0.5000 0.0000 0.0000
```

Output
- Calculated volume: 142.7 Å³/cell
- Calculated density: 5.1 g cm⁻³
- DOS at the Fermi energy: 0.70 states/eV/atom

Energy ordering: ii at the bottom, the next structure 0.139 eV/atom above.

i | Entry from the Alexandria database: crystalline ScPbCl2 at its relaxed geometry (GGA-PBEsol).

POSCAR file:
```
ScPbCl2
1.0
3.1412 0.0000 0.0000
0.0000 3.1412 0.0000
0.0000 0.0000 10.2495
Cl Sc Pb
2 1 1
Direct
0.0000 0.0000 0.6463
0.0000 0.0000 0.3537
0.5000 0.5000 0.5000
0.5000 0.5000 0.0000
```

Output
- Calculated volume: 101.1 Å³/cell
- Calculated density: 5.3 g cm⁻³
- DOS at the Fermi energy: 0.45 states/eV/atom

ii | Entry from the Alexandria database: crystalline ScPbCl2 at its relaxed geometry (GGA-PBEsol).

POSCAR file:
```
ScPbCl2
1.0
-3.1826 -0.2567 -1.1258
-1.2214 -3.0108 -0.9514
-4.6842 -2.7793 8.7853
Cl Pb Sc
2 1 1
Direct
0.2808 0.2808 0.1577
0.7192 0.7192 0.8423
0.5000 0.5000 0.5000
0.0000 0.0000 0.0000
```

Output
- Calculated volume: 100.8 Å³/cell
- Calculated density: 5.3 g cm⁻³
- DOS at the Fermi energy: 0.52 states/eV/atom

Energy ordering: ii at the bottom, the next structure 0.116 eV/atom above.

i | Entry from the Alexandria database: crystalline Sc2PbCl at its relaxed geometry (GGA-PBEsol).

POSCAR file:
```
Sc2PbCl
1.0
3.4104 0.0000 -0.0004
-0.0001 4.5348 0.0031
-1.7058 -0.0032 5.7418
Pb Cl Sc
1 1 2
Direct
0.7263 0.1252 0.4530
0.4932 0.6250 0.9864
0.9977 0.1247 0.9952
0.2827 0.6252 0.5653
```

Output
- Calculated volume: 88.8 Å³/cell
- Calculated density: 6.2 g cm⁻³
- DOS at the Fermi energy: 0.99 states/eV/atom

ii | Entry from the Alexandria database: crystalline Sc2PbCl at its relaxed geometry (GGA-PBEsol).

POSCAR file:
```
Sc2PbCl
1.0
-2.7125 0.9985 -1.6664
-3.0383 -0.7613 1.1493
-2.0463 8.8255 5.2791
Sc Pb Cl
2 1 1
Direct
0.7571 0.7571 0.7288
0.0083 0.0083 0.9750
0.2567 0.2567 0.2298
0.4779 0.4779 0.5664
```

Output
- Calculated volume: 99.4 Å³/cell
- Calculated density: 5.6 g cm⁻³
- DOS at the Fermi energy: 0.99 states/eV/atom

iii | Entry from the Alexandria database: crystalline Sc2PbCl at its relaxed geometry (GGA-PBEsol).

POSCAR file:
```
Sc2PbCl
1.0
-0.6771 -4.6104 1.7048
3.6668 -2.3179 2.4089
-0.3629 -0.8118 4.8816
Sc Cl Pb
2 1 1
Direct
0.2500 0.2500 0.2500
0.7500 0.7500 0.7500
0.5000 0.5000 0.5000
0.0000 0.0000 0.0000
```

Output
- Calculated volume: 86.4 Å³/cell
- Calculated density: 6.4 g cm⁻³
- DOS at the Fermi energy: 0.91 states/eV/atom

Energy ordering: i at the bottom, the next structure 0.055 eV/atom above.